Entry 1:
Below is crystalline Tb4Tm4In at its relaxed geometry, with properties calculated at the PBE-GGA level.

As for the energy: -4.421 eV per atom. The value obtained for the density of states at the Fermi level is 26.66 states/eV/cell. The value obtained for the formation energy is -1.7 kcal/mol of atoms.

The space group is I4/mmm (No. 139) and the conventional cell measures 10.513, 10.513 and 4.874 Å, with angles of 90.00, 90.00 and 90.00 degrees. Symmetry generates all atoms from Tb at (0.162, 0.162, 0.000), Tm at (0.000, 0.335, 0.500) and In at (0.000, 0.000, 0.500).

***

Entry 2:
Below is crystalline SmErBi2O6 at its relaxed geometry, with properties calculated at the PBE-GGA level.

As for the energy: -7.027 eV per atom. As for the formation energy (no corrections): -2.348 eV/atom. The value obtained for the density of states at the Fermi level is 0.00 states/eV/cell.

The space group is R3 (No. 146, hexagonal axes) and the conventional cell measures 6.0587, 6.0587 and 15.3087 Å, with angles of 90.00, 90.00 and 120.00 degrees. Symmetry generates all atoms from Sm at (0.0000, 0.0000, 0.0000), Er at (0.0000, 0.0000, 0.4958), Bi at (0.0000, 0.0000, 0.2832), Bi at (0.0000, 0.0000, 0.7846), O at (0.0697, 0.3675, 0.5537) and O at (0.0718, 0.6896, 0.0554).

***

Entry 3:
Below is crystalline Tb4Pr8Dy3 at its relaxed geometry, with properties calculated at the PBE-GGA level.

As for the energy: -4.381 eV per atom. The value obtained for the density of states at the Fermi level is 46.12 states/eV/cell. The value obtained for the formation energy is 7.5 kcal/mol of atoms.

The space group is C2/m (No. 12) and the conventional cell measures 13.955, 12.280 and 6.940 Å, with angles of 90.00, 118.59 and 90.00 degrees. Symmetry generates all atoms from Tb at (0.000, 0.000, 0.000), Tb at (0.000, 0.000, 0.500), Tb at (0.250, 0.250, 0.000), Pr at (0.000, 0.246, 0.500), Pr at (0.000, 0.295, 0.000), Pr at (0.204, 0.500, 0.182), Pr at (0.245, 0.000, 0.279), Dy at (0.000, 0.500, 0.500) and Dy at (0.250, 0.250, 0.500).

***

Entry 4:
Below is crystalline YP2RuCl at its relaxed geometry, with properties calculated at the PBE-GGA level.

As for the energy: -5.919 eV per atom. Its offset from the most stable computed form is 0.00 kJ per mole of atoms. As for the formation energy (no corrections): -0.238 eV/atom. The value obtained for the density of states at the Fermi level is 2.97 states/eV/cell.

The space group is P4/mmm (No. 123) and the conventional cell measures 4.578, 4.578 and 4.877 Å, with angles of 90.00, 90.00 and 90.00 degrees. Symmetry generates all atoms from Y at (0.000, 0.000, 0.000), P at (0.000, 0.500, 0.500), Ru at (0.500, 0.500, 0.500) and Cl at (0.500, 0.500, 0.000).

***

Entry 5:
Below is crystalline Sr2SiS at its relaxed geometry, with properties calculated at the PBE-GGA level.

As for the energy: -3.914 eV per atom. Its offset from the most stable computed form is 0.00 kJ per mole of atoms. As for the formation energy (no corrections): -0.686 eV/atom. The value obtained for the density of states at the Fermi level is 13.97 states/eV/cell.

The space group is I-42d (No. 122) and the conventional cell measures 7.988, 7.988 and 8.246 Å, with angles of 90.00, 90.00 and 90.00 degrees. Symmetry generates all atoms from Sr at (0.221, 0.750, 0.125), Si at (0.000, 0.000, 0.500) and S at (0.000, 0.000, 0.000).

***

Entry 6:
Below is crystalline AlInRe at its relaxed geometry, with properties calculated at the PBE-GGA level.

As for the energy: -5.981 eV per atom. Its offset from the most stable computed form is 6.24 kJ per mole of atoms. The value obtained for the density of states at the Fermi level is 1.30 states/eV/cell. The value obtained for the formation energy is 7.6 kcal/mol of atoms.

The space group is P3m1 (No. 156) and the conventional cell measures 4.4961, 4.4961 and 2.9539 Å, with angles of 90.00, 90.00 and 120.00 degrees. Symmetry generates all atoms from Al at (0.0000, 0.0000, 0.0000), In at (0.6667, 0.3333, 0.4967) and Re at (0.3333, 0.6667, 0.9958).

***

Entry 7:
Below is crystalline Rb3LiU3Se8 at its relaxed geometry, with properties calculated at the PBE-GGA level.

As for the energy: -5.666 eV per atom. As for the formation energy (no corrections): -1.229 eV/atom. The value obtained for the density of states at the Fermi level is 47.51 states/eV/cell.

The space group is R-3m (No. 166, hexagonal axes) and the conventional cell measures 8.3778, 8.3778 and 24.2013 Å, with angles of 90.00, 90.00 and 120.00 degrees. Symmetry generates all atoms from Rb at (0.0000, 0.5000, 0.0000), Li at (0.0000, 0.0000, 0.5000), U at (0.0000, 0.5000, 0.5000), Se at (0.0000, 0.0000, 0.2326) and Se at (0.0114, 0.5057, 0.7707).

***

Entry 8:
Below is crystalline LaBeGe3 at its relaxed geometry, with properties calculated at the PBE-GGA level.

As for the energy: -4.408 eV per atom. Its offset from the most stable computed form is 40.22 kJ per mole of atoms. The value obtained for the density of states at the Fermi level is 22.36 states/eV/cell. The value obtained for the formation energy is 2.2 kcal/mol of atoms.

The space group is R-3c (No. 167, hexagonal axes) and the conventional cell measures 8.2088, 8.2088 and 11.0150 Å, with angles of 90.00, 90.00 and 120.00 degrees. Symmetry generates all atoms from La at (0.0000, 0.0000, 0.0000), Be at (0.0000, 0.0000, 0.2500) and Ge at (0.0000, 0.2720, 0.2500).

***

| no. | M_tot (μB/cell) |
| --- | --- |
| 1 | 0.000 |
| 2 | 0.000 |
| 3 | 0.000 |
| 4 | 0.000 |
| 5 | 0.000 |
| 6 | 0.000 |
| 7 | 18.000 |
| 8 | 0.000 |